# TbPm3Er5

Crystalline TbPm3Er5 at its relaxed geometry (PBE, Alexandria).

Summary:
The formation energy comes out at 2.38 eV/f.u. The density of states at the Fermi level comes out at 1.088 states/eV per atom. The energy comes out at -4.3682 eV per atom. The space-group type is No. 140.

Lattice parameters (Å, degrees): 8.6880 8.6880 9.8392 116.20 116.20 90.00
Positions (direct):
Pm  0.2500  0.2500  0.5000
Er  0.8472  0.9275  0.2747
Pm  0.1164  0.3836  0.0000
Tb  0.7500  0.2500  0.5000
Er  0.5725  0.6528  0.7253
Pm  0.3836  0.8836  0.0000
Er  0.6528  0.1528  0.7253
Er  0.9275  0.4275  0.2747
Er  0.1528  0.0725  0.7253
Er  0.5000  0.5000  0.0000
Er  0.4275  0.3472  0.2747
Pm  0.7500  0.7500  0.5000
Pm  0.6164  0.1164  0.0000
Pm  0.8836  0.6164  0.0000
Er  0.3472  0.8472  0.2747
Er  0.0725  0.5725  0.7253
Tb  0.2500  0.7500  0.5000
Er  0.0000  0.0000  0.0000

***

# TbPm3Er2

Crystalline TbPm3Er2 at its relaxed geometry (PBE, Alexandria).

Summary:
The formation energy comes out at 0.01 eV/f.u. The density of states at the Fermi level comes out at 1.245 states/eV per atom. The energy comes out at -4.6658 eV per atom. The space-group type is No. 2.

Lattice parameters (Å, degrees): 7.2283 10.2690 7.2337 79.93 119.96 121.78
Positions (direct):
Pm  0.8054  0.6659  0.8610
Tb  0.7462  0.9977  0.7485
Er  0.3029  0.6662  0.8601
Tb  0.2538  0.0023  0.2515
Pm  0.1946  0.3341  0.1390
Pm  0.2549  0.0033  0.7510
Pm  0.8047  0.6648  0.3616
Pm  0.1953  0.3352  0.6384
Er  0.6969  0.3328  0.6396
Pm  0.7451  0.9967  0.2490
Er  0.3031  0.6672  0.3604
Er  0.6971  0.3338  0.1399

***

# Tb3Pm2Er6

Crystalline Tb3Pm2Er6 at its relaxed geometry (PBE, Alexandria).

Summary:
The formation energy comes out at 2.06 eV/f.u. The density of states at the Fermi level comes out at 1.584 states/eV per atom. The energy comes out at -4.4280 eV per atom. The space-group type is No. 12.

Lattice parameters (Å, degrees): 6.0671 6.0671 11.5468 85.84 85.84 119.15
Positions (direct):
Tb  0.0000  0.0000  0.0000
Er  0.5951  0.9295  0.2463
Pm  0.1739  0.8261  0.5000
Er  0.0705  0.4049  0.7537
Tb  0.3360  0.6640  0.0000
Pm  0.8261  0.1739  0.5000
Er  0.7367  0.7367  0.7468
Er  0.4049  0.0705  0.7537
Er  0.9295  0.5951  0.2463
Tb  0.6640  0.3360  0.0000
Er  0.2633  0.2633  0.2532

***

# Tb10Pm4Er

Crystalline Tb10Pm4Er at its relaxed geometry (PBE, Alexandria).

Summary:
The formation energy comes out at 6.24 eV/f.u. The density of states at the Fermi level comes out at 1.479 states/eV per atom. The energy comes out at -4.2420 eV per atom. The space-group type is No. 87.

Lattice parameters (Å, degrees): 11.5226 8.9938 8.9938 65.77 50.16 50.16
Positions (direct):
Pm  0.4308  0.3933  0.7452
Tb  0.2790  0.6541  0.1101
Tb  0.0431  0.3459  0.8899
Tb  0.7500  0.5000  0.5000
Er  0.0000  0.0000  0.0000
Tb  0.6109  0.1101  0.3459
Pm  0.5692  0.6067  0.2548
Pm  0.1760  0.2548  0.3933
Tb  0.7210  0.3459  0.8899
Tb  0.9331  0.1101  0.3459
Tb  0.3891  0.8899  0.6541
Tb  0.9569  0.6541  0.1101
Tb  0.0669  0.8899  0.6541
Pm  0.8240  0.7452  0.6067
Tb  0.2500  0.5000  0.5000

***

# Tb4Pm6Er

Crystalline Tb4Pm6Er at its relaxed geometry (PBE, Alexandria).

Summary:
The formation energy comes out at 1.90 eV/f.u. The density of states at the Fermi level comes out at 1.493 states/eV per atom. The energy comes out at -4.5173 eV per atom. The space-group type is No. 8.

Lattice parameters (Å, degrees): 6.5676 6.5675 10.0815 118.46 101.29 88.15
Positions (direct):
Pm  0.0421  0.6114  0.0189
Tb  0.3151  0.0229  0.3380
Tb  0.6861  0.6730  0.7477
Pm  0.1438  0.4757  0.6194
Tb  0.0747  0.0616  0.7477
Pm  0.5598  0.1027  0.6625
Er  0.5377  0.4641  0.0018
Tb  0.9315  0.2047  0.1362
Pm  0.8365  0.8893  0.3544
Pm  0.4075  0.9768  0.0189
Pm  0.4651  0.5179  0.3544

***

# Tb3Pm2Er4

Crystalline Tb3Pm2Er4 at its relaxed geometry (PBE, Alexandria).

Summary:
The formation energy comes out at 0.16 eV/f.u. The density of states at the Fermi level comes out at 1.297 states/eV per atom. The energy comes out at -4.6095 eV per atom. The space-group type is No. 2.

Lattice parameters (Å, degrees): 6.1542 6.1610 12.7968 118.74 103.82 119.99
Positions (direct):
Tb  0.0000  0.0000  0.0000
Pm  0.2245  0.4475  0.6680
Er  0.1094  0.2197  0.3318
Tb  0.4417  0.8867  0.3316
Er  0.3328  0.6655  0.0000
Er  0.8906  0.7803  0.6682
Er  0.6672  0.3345  0.0000
Pm  0.7755  0.5525  0.3320
Tb  0.5583  0.1133  0.6684

***

# Tb2Pm8Er3

Crystalline Tb2Pm8Er3 at its relaxed geometry (PBE, Alexandria).

Summary:
The formation energy comes out at 2.69 eV/f.u. The density of states at the Fermi level comes out at 1.467 states/eV per atom. The energy comes out at -4.4818 eV per atom. The space-group type is No. 12.

Lattice parameters (Å, degrees): 5.6818 7.7101 10.8789 110.75 90.04 90.00
Positions (direct):
Er  0.0000  0.7135  0.0000
Pm  0.0005  0.8696  0.7392
Er  0.5000  0.0000  0.0000
Pm  0.9995  0.1304  0.2608
Tb  0.4988  0.2396  0.4793
Pm  0.4998  0.1897  0.7892
Pm  0.5002  0.8103  0.2108
Er  0.0000  0.2865  0.0000
Pm  0.4998  0.5995  0.7892
Pm  0.0009  0.6718  0.3436
Pm  0.5002  0.4005  0.2108
Tb  0.5012  0.7604  0.5207
Pm  0.9991  0.3282  0.6564

***

# Tb5Pm2Er3

Crystalline Tb5Pm2Er3 at its relaxed geometry (PBE, Alexandria).

Summary:
The formation energy comes out at 1.96 eV/f.u. The density of states at the Fermi level comes out at 1.844 states/eV per atom. The energy comes out at -4.4376 eV per atom. The space-group type is No. 15.

Lattice parameters (Å, degrees): 9.4083 9.4695 11.1187 125.38 125.25 68.78
Positions (direct):
Er  0.9913  0.2218  0.7608
Tb  0.7201  0.4701  0.9402
Pm  0.5320  0.2660  0.2514
Tb  0.2799  0.5299  0.0598
Tb  0.1314  0.3866  0.2331
Er  0.0087  0.7782  0.2392
Tb  0.0181  0.7681  0.5362
Er  0.7740  0.0240  0.0479
Tb  0.9819  0.2319  0.4638
Er  0.2260  0.9760  0.9521
Pm  0.7806  0.0147  0.7486
Tb  0.4769  0.7269  0.4537
Pm  0.2194  0.9853  0.2514
Tb  0.5231  0.2731  0.5463
Tb  0.8686  0.6134  0.7669
Tb  0.6017  0.8465  0.2331
Er  0.7306  0.4611  0.2392
Pm  0.4680  0.7340  0.7486
Er  0.2694  0.5389  0.7608
Tb  0.3983  0.1535  0.7669

***

# Tb5Pm2Er3

Crystalline Tb5Pm2Er3 at its relaxed geometry (PBE, Alexandria).

Summary:
The formation energy comes out at 4.05 eV/f.u. The density of states at the Fermi level comes out at 1.488 states/eV per atom. The energy comes out at -4.2295 eV per atom. The space-group type is No. 72.

Lattice parameters (Å, degrees): 6.7848 12.2822 12.2822 44.74 73.97 73.97
Positions (direct):
Er  0.8764  0.8743  0.3730
Tb  0.2500  0.5000  0.5000
Tb  0.4997  0.2503  0.2503
Er  0.7500  0.0000  0.0000
Tb  0.9997  0.2503  0.2503
Er  0.1236  0.1257  0.6270
Pm  0.3756  0.0237  0.2252
Pm  0.8756  0.2252  0.0237
Tb  0.3750  0.7164  0.5337
Pm  0.6244  0.9763  0.7748
Er  0.2500  0.0000  0.0000
Tb  0.7500  0.5000  0.5000
Pm  0.1244  0.7748  0.9763
Tb  0.6250  0.2836  0.4663
Er  0.6236  0.6270  0.1257
Er  0.3764  0.3730  0.8743
Tb  0.0003  0.7497  0.7497
Tb  0.1250  0.4663  0.2836
Tb  0.8750  0.5337  0.7164
Tb  0.5003  0.7497  0.7497

***

# TbPmEr6

Crystalline TbPmEr6 at its relaxed geometry (PBE, Alexandria).

Summary:
The formation energy comes out at 0.06 eV/f.u. The density of states at the Fermi level comes out at 1.907 states/eV per atom. The energy comes out at -4.5870 eV per atom. The space-group type is No. 38.

Lattice parameters (Å, degrees): 5.6210 7.1944 7.1927 120.01 90.00 90.00
Positions (direct):
Er  0.5000  0.1664  0.3329
Er  0.5000  0.6673  0.8342
Pm  0.0000  0.8331  0.6662
Tb  0.5000  0.6667  0.3334
Er  0.0000  0.8317  0.1655
Er  0.0000  0.3341  0.6681
Er  0.5000  0.1669  0.8342
Er  0.0000  0.3338  0.1655